SbPt15 | PBE | relaxed

```
SbPt15
1.0
7.8311 0.0000 0.0000
0.0000 2.8279 0.0000
-0.0281 0.0000 31.7715
Sb Pt
2 30
Direct
0.1246 0.2500 0.3377 Sb
0.8754 0.7500 0.6623 Sb
0.1131 0.2500 0.7083 Pt
0.1199 0.2500 0.8015 Pt
0.1254 0.2500 0.1537 Pt
0.1248 0.2500 0.2437 Pt
0.1247 0.2500 0.8900 Pt
0.1263 0.2500 0.0651 Pt
0.1262 0.2500 0.9777 Pt
0.3624 0.7500 0.2919 Pt
0.3700 0.7500 0.1991 Pt
0.3745 0.7500 0.7588 Pt
0.3747 0.7500 0.1102 Pt
0.3753 0.7500 0.6746 Pt
0.3752 0.7500 0.8448 Pt
0.3760 0.7500 0.0217 Pt
0.3762 0.7500 0.9329 Pt
0.6238 0.2500 0.0671 Pt
0.6240 0.2500 0.9783 Pt
0.6248 0.2500 0.1552 Pt
0.6247 0.2500 0.3254 Pt
0.6253 0.2500 0.8898 Pt
0.6255 0.2500 0.2412 Pt
0.6300 0.2500 0.8009 Pt
0.6376 0.2500 0.7081 Pt
0.8738 0.7500 0.0223 Pt
0.8737 0.7500 0.9349 Pt
0.8753 0.7500 0.1100 Pt
0.8752 0.7500 0.7563 Pt
0.8746 0.7500 0.8463 Pt
0.8801 0.7500 0.1985 Pt
0.8869 0.7500 0.2917 Pt
```

Results
Space-group type: No. 11
Energy (eV/atom): -5.881
Total moment (μB per cell): 0.42
Energy above the lowest structure with this stoichiometry (meV/atom): 51.4